A relaxed structure of PmBiTe2O, computed with GGA-PBE. Values from VASP.

Cell and atoms, written as Quantum ESPRESSO input:
```
&SYSTEM
  ibrav = 0, nat = 10, ntyp = 4
/
ATOMIC_SPECIES
Pm 145.00 Pm.upf
Bi 208.98 Bi.upf
Te 127.60 Te.upf
O 16.00 O.upf
ATOMIC_POSITIONS angstrom
Pm 2.1131 0.0000 9.2541
Pm 0.0000 2.1131 7.0678
Bi 2.1131 0.0000 2.3807
Bi 0.0000 2.1131 13.9412
Te 0.0000 2.1131 11.0445
Te 0.0000 2.1131 1.4829
Te 2.1131 0.0000 14.8389
Te 2.1131 0.0000 5.2773
O 0.0000 0.0000 8.1609
O 2.1131 2.1131 8.1609
CELL_PARAMETERS angstrom
4.2262 0.0000 0.0000
0.0000 4.2262 0.0000
0.0000 0.0000 16.3218
```

Calculated values
- Space group: P4/nmm
- Electronic total energy: -54.6 eV for the cell shown
- Energy relative to the elements, uncorrected: -1.49 eV/atom

***

A relaxed structure of PmTl2BiO4, computed with GGA-PBE. Values from VASP.

Cell and atoms, written as Quantum ESPRESSO input:
```
&SYSTEM
  ibrav = 0, nat = 16, ntyp = 4
/
ATOMIC_SPECIES
Pm 145.00 Pm.upf
Tl 204.38 Tl.upf
Bi 208.98 Bi.upf
O 16.00 O.upf
ATOMIC_POSITIONS angstrom
Pm -0.0018 3.7285 -0.0081
Pm 5.6130 1.8867 2.6200
Tl 3.7285 0.0009 -0.0081
Tl 1.8863 -1.8426 2.6362
Tl -1.8422 -1.8434 2.6442
Tl 3.7267 3.7293 -0.0161
Bi 1.8845 1.8859 2.6281
Bi 3.7726 -3.6852 5.2723
O -2.1426 1.8763 5.0284
O 3.7793 0.3420 2.8720
O -0.0103 3.4297 2.3842
O 5.9118 1.8954 0.2278
O 2.2114 1.8719 5.0699
O 3.7832 3.4448 2.8144
O -0.0142 0.3269 2.4418
O 1.5576 1.8998 0.1863
CELL_PARAMETERS angstrom
7.4570 0.0017 -0.0161
-0.0036 7.4570 -0.0162
-3.6843 -3.6869 5.2885
```

Calculated values
- Space group: Imma
- Electronic total energy: -91.1 eV for the cell shown
- Energy relative to the elements, uncorrected: -1.54 eV/atom